CsCd3Br (PBE, relaxed); raw formation energy = 0.161 eV per atom; E above lowest polymorph = 190 meV per atom
1.0
-0.056 7.096 1.629
-7.281 -0.073 0.065
0.080 -1.628 7.096
Cd Br Cs
3 1 1
direct
0.000 0.500 0.000
0.500 0.000 0.000
0.000 0.000 0.500
0.500 0.500 0.500
0.000 0.000 0.000


CsCd2Br2 (PBE, relaxed); raw formation energy = -0.739 eV per atom; E above lowest polymorph = 45 meV per atom
1.0
-4.820 -0.894 3.272
-1.162 -4.907 -3.052
-0.120 -5.730 3.566
Cs Br Cd
1 2 2
direct
0.000 0.000 0.000
0.750 0.250 0.500
0.250 0.750 0.500
0.365 0.365 0.269
0.635 0.635 0.731